# ThV2CoO8 (PBE+U, relaxed)
# Calculated volume ... 14.9 A^3/atom
# DFT total energy ... -7.669 eV per atom
data_ThV2CoO8
_cell_length_a 5.869
_cell_length_b 5.869
_cell_length_c 5.992
_cell_angle_alpha 90.00
_cell_angle_beta 90.00
_cell_angle_gamma 120.00
_symmetry_space_group_name_H-M 'P 1'
_symmetry_Int_Tables_number 1
_symmetry_space_group_name_Hall 'P 1'
loop_
_atom_site_label
_atom_site_fract_x
_atom_site_fract_y
_atom_site_fract_z
_atom_site_occupancy
Th1 0.000 0.000 0.000 1
V1 0.667 0.333 0.358 1
V2 0.333 0.667 0.642 1
Co1 0.000 0.000 0.500 1
O1 0.836 0.164 0.270 1
O2 0.836 0.673 0.270 1
O3 0.327 0.164 0.270 1
O4 0.673 0.836 0.730 1
O5 0.333 0.667 0.371 1
O6 0.667 0.333 0.629 1
O7 0.164 0.836 0.730 1
O8 0.164 0.327 0.730 1